[1]
DFT (PBE) results for a relaxed structure of EuYSi.

**Calculated total energy**: -7.7773 eV/atom

abc: 4.9962 4.9962 4.9962
angles: 60.00 60.00 60.00
Closest atoms and distances in Å follow each position.
Fractional positions:
Eu1 0.0000 0.0000 0.0000  4 Si 3.06
Y1 0.5000 0.5000 0.5000  4 Si 3.06
Si1 0.2500 0.2500 0.2500  4 Y 3.06, 4 Eu 3.06



[2]
DFT (PBE) results for a relaxed structure of Ag2HgSBr.

**Calculated total energy**: -2.4012 eV/atom

abc: 4.9270 4.9270 5.3313
angles: 90.00 90.00 90.00
Closest atoms and distances in Å follow each position.
Fractional positions:
Ag1 0.0000 0.5000 0.0000  2 S 2.46
Ag2 0.5000 0.0000 0.0000  2 S 2.46
Hg1 0.0000 0.0000 0.5000  2 S 2.67
S1 0.0000 0.0000 0.0000  4 Ag 2.46, 2 Hg 2.67
Br1 0.5000 0.5000 0.5000  4 Hg 3.48, 8 Ag 3.63



[3]
DFT (PBE) results for a relaxed structure of GdHfAl2.

**ΔE to the lowest computed polymorph**: 94 meV per atom
**Energy of formation from the pure elements**: -0.24 eV per atom

abc: 4.5158 4.5158 4.1446
angles: 90.00 90.00 90.00
Closest atoms and distances in Å follow each position.
Fractional positions:
Gd1 0.0000 0.0000 0.0000  8 Al 3.06, 4 Hf 3.19
Hf1 0.5000 0.5000 0.0000  8 Al 3.06, 4 Gd 3.19
Al1 0.0000 0.5000 0.5000  4 Hf 3.06, 4 Gd 3.06, 4 Al 3.19
Al2 0.5000 0.0000 0.5000  4 Hf 3.06, 4 Gd 3.06, 4 Al 3.19



[4]
DFT (PBE) results for a relaxed structure of Mg2In2GaNi4.

**Energy of formation from the pure elements**: 0.03 eV per atom

abc: 5.9052 5.9052 5.9052
angles: 119.92 119.92 90.14
Closest atoms and distances in Å follow each position.
Fractional positions:
Mg1 0.1980 0.1980 0.0000  1 Ga 2.52, 4 Ni 2.52
Mg2 0.8020 0.8020 0.0000  1 Ga 2.52, 4 Ni 2.52
In1 0.2500 0.7500 0.5000  8 Ni 2.96, 4 Mg 2.99
In2 0.7500 0.2500 0.5000  8 Ni 2.96, 4 Mg 2.99
Ga1 0.5000 0.5000 0.0000  4 Ni 2.27, 2 Mg 2.52
Ni1 0.2283 0.2283 0.4566  1 Ga 2.27, 2 Mg 2.52
Ni2 0.2283 0.7717 0.0000  1 Ga 2.27, 2 Mg 2.52
Ni3 0.7717 0.2283 0.0000  1 Ga 2.27, 2 Mg 2.52
Ni4 0.7717 0.7717 0.5434  1 Ga 2.27, 2 Mg 2.52



[5]
DFT (PBE) results for a relaxed structure of In3TeRu.

**ΔE to the lowest computed polymorph**: 0 meV per atom

abc: 5.1973 5.1973 5.1973
angles: 90.00 90.00 90.00
Closest atoms and distances in Å follow each position.
Fractional positions:
In1 0.0000 0.0000 0.5000  2 Ru 2.60
In2 0.0000 0.5000 0.0000  2 Ru 2.60
In3 0.5000 0.0000 0.0000  2 Ru 2.60
Te1 0.5000 0.5000 0.5000  12 In 3.68
Ru1 0.0000 0.0000 0.0000  6 In 2.60



[6]
DFT (PBE) results for a relaxed structure of Li6AgPd3.

**ΔE to the lowest computed polymorph**: 0 meV per atom
**Energy of formation from the pure elements**: -0.34 eV per atom

abc: 7.9404 4.1610 8.8832
angles: 90.00 99.13 90.00
Closest atoms and distances in Å follow each position.
Fractional positions:
Li1 0.0373 0.2500 0.4004  7 Pd 2.59-2.71, 3 Li 2.70-2.85
Li2 0.1281 0.7500 0.1934  5 Pd 2.57-2.63, 2 Li 2.74, 1 Ag 2.77
Li3 0.2329 0.2500 0.9828  4 Pd 2.58-2.62, 3 Ag 2.77, 1 Li 2.79
Li4 0.3302 0.7500 0.7867  4 Pd 2.58-2.64, 3 Ag 2.78-2.82, 1 Li 2.84
Li5 0.3390 0.2500 0.2972  8 Li 2.64-2.84, 2 Pd 2.83, 2 Ag 2.93
Li6 0.4400 0.2500 0.5950  4 Pd 2.58-2.67, 3 Li 2.64-2.79, 1 Ag 2.72
Li7 0.5600 0.7500 0.4050  4 Pd 2.58-2.67, 3 Li 2.64-2.79, 1 Ag 2.72
Li8 0.6610 0.7500 0.7028  8 Li 2.64-2.84, 2 Pd 2.83, 2 Ag 2.93
Li9 0.6698 0.2500 0.2133  4 Pd 2.58-2.64, 3 Ag 2.78-2.82, 1 Li 2.84
Li10 0.7671 0.7500 0.0172  4 Pd 2.58-2.62, 3 Ag 2.77, 1 Li 2.79
Li11 0.8719 0.2500 0.8066  5 Pd 2.57-2.63, 2 Li 2.74, 1 Ag 2.77
Li12 0.9627 0.7500 0.5996  7 Pd 2.59-2.71, 3 Li 2.70-2.85
Ag1 0.4446 0.7500 0.0994  10 Li 2.72-2.93, 2 Ag 2.95
Ag2 0.5554 0.2500 0.9006  10 Li 2.72-2.93, 2 Ag 2.95
Pd1 0.0492 0.7500 0.8987  8 Li 2.57-2.64
Pd2 0.1492 0.2500 0.6901  8 Li 2.58-2.61
Pd3 0.2504 0.7500 0.4864  10 Li 2.63-2.83
Pd4 0.7496 0.2500 0.5136  10 Li 2.63-2.83
Pd5 0.8508 0.7500 0.3099  8 Li 2.58-2.61
Pd6 0.9508 0.2500 0.1013  8 Li 2.57-2.64



[7]
DFT (PBE) results for a relaxed structure of SrBiTe3.

**ΔE to the lowest computed polymorph**: 0 meV per atom

abc: 5.9173 5.9173 5.9173
angles: 90.00 90.00 90.00
Closest atoms and distances in Å follow each position.
Fractional positions:
Sr1 0.0000 0.0000 0.0000  12 Te 4.18
Bi1 0.5000 0.5000 0.5000  6 Te 2.96
Te1 0.0000 0.5000 0.5000  2 Bi 2.96
Te2 0.5000 0.0000 0.5000  2 Bi 2.96
Te3 0.5000 0.5000 0.0000  2 Bi 2.96



[8]
DFT (PBE) results for a relaxed structure of SiAsIrSe2.

**ΔE to the lowest computed polymorph**: 0 meV per atom

abc: 5.1221 5.1221 4.5543
angles: 90.00 90.00 90.00
Closest atoms and distances in Å follow each position.
Fractional positions:
Si1 0.0000 0.0000 0.0000  8 Se 3.43, 4 As 3.62
As1 0.5000 0.5000 0.0000  2 Ir 2.28
Ir1 0.5000 0.5000 0.5000  2 As 2.28
Se1 0.0000 0.5000 0.5000  2 Ir 2.56
Se2 0.5000 0.0000 0.5000  2 Ir 2.56



[9]
DFT (PBE) results for a relaxed structure of BaAlI2O.

**ΔE to the lowest computed polymorph**: 0 meV per atom

abc: 6.2008 6.2008 3.6969
angles: 90.00 90.00 90.00
Closest atoms and distances in Å follow each position.
Fractional positions:
Ba1 0.0000 0.0000 0.0000  8 I 3.61, 2 Ba 3.70
Al1 0.5000 0.5000 0.5000  2 O 1.85
I1 0.0000 0.5000 0.5000  2 Al 3.10
I2 0.5000 0.0000 0.5000  2 Al 3.10
O1 0.5000 0.5000 0.0000  2 Al 1.85



[10]
DFT (PBE) results for a relaxed structure of Ca2NdHo.

**ΔE to the lowest computed polymorph**: 154 meV per atom
**Energy of formation from the pure elements**: 0.24 eV per atom

abc: 13.3537 13.3537 13.3537
angles: 15.46 15.46 15.46
Closest atoms and distances in Å follow each position.
Fractional positions:
Ca1 0.0867 0.0867 0.0867  1 Ho 3.43, 6 Ca 3.59, 3 Nd 3.78
Ca2 0.9133 0.9133 0.9133  1 Ho 3.43, 6 Ca 3.59, 3 Nd 3.78
Nd1 0.5000 0.5000 0.5000  6 Nd 3.59, 6 Ca 3.78
Ho1 0.0000 0.0000 0.0000  2 Ca 3.43, 6 Ho 3.59



[11]
DFT (PBE) results for a relaxed structure of Ac3Pm2Ho3.

**Energy of formation from the pure elements**: 0.18 eV per atom

abc: 10.1352 10.1352 6.7797
angles: 90.00 90.00 120.00
Closest atoms and distances in Å follow each position.
Fractional positions:
Ac1 0.0000 0.2339 0.2500  5 Ho 3.57-3.85
Ac2 0.0000 0.7661 0.7500  5 Ho 3.57-3.85
Ac3 0.2339 0.0000 0.2500  5 Ho 3.57-3.85
Ac4 0.2339 0.2339 0.7500  5 Ho 3.57-3.85
Ac5 0.7661 0.0000 0.7500  5 Ho 3.57-3.85
Ac6 0.7661 0.7661 0.2500  5 Ho 3.57-3.85
Pm1 0.3333 0.6667 0.0000  2 Pm 3.39, 6 Ho 3.49
Pm2 0.3333 0.6667 0.5000  2 Pm 3.39, 6 Ho 3.49
Pm3 0.6667 0.3333 0.0000  2 Pm 3.39, 6 Ho 3.49
Pm4 0.6667 0.3333 0.5000  2 Pm 3.39, 6 Ho 3.49
Ho1 0.0000 0.4136 0.7500  4 Pm 3.49, 5 Ac 3.57-3.85, 2 Ho 3.82
Ho2 0.0000 0.5864 0.2500  4 Pm 3.49, 5 Ac 3.57-3.85, 2 Ho 3.82
Ho3 0.4136 0.0000 0.7500  4 Pm 3.49, 5 Ac 3.57-3.85, 2 Ho 3.82
Ho4 0.4136 0.4136 0.2500  4 Pm 3.49, 5 Ac 3.57-3.85, 2 Ho 3.82
Ho5 0.5864 0.0000 0.2500  4 Pm 3.49, 5 Ac 3.57-3.85, 2 Ho 3.82
Ho6 0.5864 0.5864 0.7500  4 Pm 3.49, 5 Ac 3.57-3.85, 2 Ho 3.82



[12]
DFT (PBE) results for a relaxed structure of AcSmTeSe2.

**Calculated total energy**: -5.2734 eV/atom

abc: 8.1551 8.1551 8.1551
angles: 145.74 145.74 49.23
Closest atoms and distances in Å follow each position.
Fractional positions:
Ac1 0.0000 0.0000 0.0000  4 Se 3.02
Sm1 0.7230 0.7230 0.0000  4 Se 2.82
Te1 0.3729 0.3729 0.0000  4 Ac 3.88, 4 Sm 4.06
Se1 0.1236 0.6236 0.5000  2 Sm 2.82, 2 Ac 3.02
Se2 0.6236 0.1236 0.5000  2 Sm 2.82, 2 Ac 3.02



Please write out number 7 again, unchanged.
DFT (PBE) results for a relaxed structure of SrBiTe3.

**ΔE to the lowest computed polymorph**: 0 meV per atom

abc: 5.9173 5.9173 5.9173
angles: 90.00 90.00 90.00
Closest atoms and distances in Å follow each position.
Fractional positions:
Sr1 0.0000 0.0000 0.0000  12 Te 4.18
Bi1 0.5000 0.5000 0.5000  6 Te 2.96
Te1 0.0000 0.5000 0.5000  2 Bi 2.96
Te2 0.5000 0.0000 0.5000  2 Bi 2.96
Te3 0.5000 0.5000 0.0000  2 Bi 2.96